(1)
Density functional theory data (PBE) for crystalline Tm2Zn5Cd at its relaxed geometry.

Results
Its space group is No. 63. The value obtained for the magnetization is 0.00 μB per atom. As for the density of states at the Fermi level: 5.126 states/eV/f.u. Its formation energy from the elements is -2.17 eV per formula unit. The raw total energy is -2.300 eV per atom.

Cell lengths 8.3121, 8.3121, 9.0947 Å; angles 90.00, 90.00, 150.35 degrees
Last column: nearest neighbours and their distance in Å.
Fractional positions:
Tm (0.0000, 0.0000, 0.0000)  6 Zn 3.20-3.23, 4 Cd 3.21
Tm (0.0000, 0.0000, 0.5000)  6 Zn 3.20-3.23, 4 Cd 3.21
Tm (0.1984, 0.8016, 0.7500)  11 Zn 3.05-3.26, 2 Cd 3.20
Tm (0.8016, 0.1984, 0.2500)  11 Zn 3.05-3.26, 2 Cd 3.20
Zn (0.1896, 0.8104, 0.1079)  6 Zn 2.50-2.78
Zn (0.1896, 0.8104, 0.3921)  6 Zn 2.50-2.78
Zn (0.3492, 0.6508, 0.0204)  4 Zn 2.50-2.69, 1 Cd 2.65
Zn (0.3492, 0.6508, 0.4796)  4 Zn 2.50-2.69, 1 Cd 2.65
Zn (0.3880, 0.6120, 0.7500)  6 Zn 2.54-2.78, 1 Cd 2.60
Zn (0.6120, 0.3880, 0.2500)  6 Zn 2.54-2.78, 1 Cd 2.60
Zn (0.6508, 0.3492, 0.5204)  4 Zn 2.50-2.69, 1 Cd 2.65
Zn (0.6508, 0.3492, 0.9796)  4 Zn 2.50-2.69, 1 Cd 2.65
Zn (0.8104, 0.1896, 0.6079)  6 Zn 2.50-2.78
Zn (0.8104, 0.1896, 0.8921)  6 Zn 2.50-2.78
Cd (0.4505, 0.5495, 0.2500)  3 Zn 2.60-2.65
Cd (0.5495, 0.4505, 0.7500)  3 Zn 2.60-2.65

---

(2)
Density functional theory data (PBE) for crystalline Ho13Tm3 at its relaxed geometry.

Results
Its space group is No. 38. As for the excess energy over the best structure of this formula in the dataset: 0.0000 eV per atom. The value obtained for the magnetization is 0.00 μB per atom. As for the density of states at the Fermi level: 27.905 states/eV/f.u. Its formation energy from the elements is 0.03 eV per formula unit. The raw total energy is -4.556 eV per atom.

Cell lengths 7.1859, 8.3369, 8.3369 Å; angles 83.68, 90.00, 90.00 degrees
Last column: nearest neighbours and their distance in Å.
Fractional positions:
Ho (0.0000, 0.0000, 0.0000)  10 Ho 3.46-3.60, 2 Tm 3.59
Ho (0.0000, 0.4158, 0.9175)  10 Ho 3.46-3.59, 2 Tm 3.46
Ho (0.0000, 0.4992, 0.4992)  8 Ho 3.46-3.59, 4 Tm 3.58-3.59
Ho (0.0000, 0.9175, 0.4158)  10 Ho 3.46-3.59, 2 Tm 3.46
Ho (0.2503, 0.1672, 0.6659)  2 Tm 3.46, 10 Ho 3.46-3.60
Ho (0.2503, 0.6659, 0.1672)  2 Tm 3.46, 10 Ho 3.46-3.60
Ho (0.2501, 0.7493, 0.7493)  11 Ho 3.47-3.60, 1 Tm 3.59
Ho (0.5000, 0.0000, 0.0000)  10 Ho 3.46-3.59, 2 Tm 3.59
Ho (0.5000, 0.4161, 0.9169)  9 Ho 3.46-3.59, 3 Tm 3.46-3.48
Ho (0.5000, 0.9169, 0.4161)  9 Ho 3.46-3.59, 3 Tm 3.46-3.48
Ho (0.7497, 0.1672, 0.6659)  2 Tm 3.46, 10 Ho 3.46-3.60
Ho (0.7497, 0.6659, 0.1672)  2 Tm 3.46, 10 Ho 3.46-3.60
Ho (0.7499, 0.7493, 0.7493)  11 Ho 3.47-3.60, 1 Tm 3.59
Tm (0.2503, 0.2500, 0.2500)  9 Ho 3.46-3.59, 3 Tm 3.58-3.60
Tm (0.5000, 0.4990, 0.4990)  10 Ho 3.46-3.59, 2 Tm 3.58
Tm (0.7497, 0.2500, 0.2500)  9 Ho 3.46-3.59, 3 Tm 3.58-3.60

---

(3)
Density functional theory data (PBE) for crystalline Er2RuS at its relaxed geometry.

Results
Its space group is No. 123. Its uncorrected formation energy is -101 kJ per mole of atoms. The value obtained for the magnetization is 0.00 μB per atom. As for the density of states at the Fermi level: 0.622 states/eV/f.u. The raw total energy is -6.680 eV per atom.

Cell lengths 3.3667, 3.3667, 6.9948 Å; angles 90.00, 90.00, 90.00 degrees
Last column: nearest neighbours and their distance in Å.
Fractional positions:
Er (0.0000, 0.0000, 0.2406)  4 Ru 2.92, 4 S 2.99
Er (0.0000, 0.0000, 0.7594)  4 Ru 2.92, 4 S 2.99
Ru (0.5000, 0.5000, 0.0000)  8 Er 2.92
S (0.5000, 0.5000, 0.5000)  8 Er 2.99

---

(4)
Density functional theory data (PBE) for crystalline Ta2CdPt at its relaxed geometry.

Results
Its space group is No. 139. The value obtained for the magnetization is 0.00 μB per atom. As for the density of states at the Fermi level: 2.933 states/eV/f.u. Its formation energy from the elements is -0.27 eV per formula unit. The raw total energy is -7.733 eV per atom.

Cell lengths 5.1589, 5.1589, 5.1589 Å; angles 133.68, 133.68, 67.59 degrees
Last column: nearest neighbours and their distance in Å.
Fractional positions:
Ta (0.2500, 0.7500, 0.5000)  4 Ta 2.87, 4 Pt 2.95, 4 Cd 2.95
Ta (0.7500, 0.2500, 0.5000)  4 Ta 2.87, 4 Pt 2.95, 4 Cd 2.95
Cd (0.0000, 0.0000, 0.0000)  4 Pt 2.87, 8 Ta 2.95
Pt (0.5000, 0.5000, 0.0000)  4 Cd 2.87, 8 Ta 2.95

---

(5)
Density functional theory data (PBE) for crystalline HoMg2Ag at its relaxed geometry.

Results
Its space group is No. 123. The value obtained for the magnetization is 0.00 μB per atom. As for the density of states at the Fermi level: 3.773 states/eV/f.u. Its formation energy from the elements is -0.51 eV per formula unit. The raw total energy is -2.783 eV per atom.

Cell lengths 3.4076, 3.4076, 7.8906 Å; angles 90.00, 90.00, 90.00 degrees
Last column: nearest neighbours and their distance in Å.
Fractional positions:
Ho (0.0000, 0.0000, 0.0000)  8 Mg 3.35, 4 Ho 3.41
Mg (0.5000, 0.5000, 0.2955)  4 Ag 2.90, 1 Mg 3.23
Mg (0.5000, 0.5000, 0.7045)  4 Ag 2.90, 1 Mg 3.23
Ag (0.0000, 0.0000, 0.5000)  8 Mg 2.90

---

(6)
Density functional theory data (PBE) for crystalline RbCaNbCu2 at its relaxed geometry.

Results
Its space group is No. 123. The value obtained for the magnetization is 0.17 μB per atom. As for the density of states at the Fermi level: 5.370 states/eV/f.u. Its formation energy from the elements is 5.79 eV per formula unit. The raw total energy is -3.089 eV per atom.

Cell lengths 4.9959, 4.9959, 5.4832 Å; angles 90.00, 90.00, 90.00 degrees
Last column: nearest neighbours and their distance in Å.
Fractional positions:
Rb (0.0000, 0.0000, 0.0000)  2 Nb 2.74
Ca (0.5000, 0.5000, 0.0000)  4 Rb 3.53, 8 Cu 3.71
Nb (0.0000, 0.0000, 0.5000)  4 Cu 2.50, 2 Rb 2.74
Cu (0.0000, 0.5000, 0.5000)  2 Nb 2.50
Cu (0.5000, 0.0000, 0.5000)  2 Nb 2.50

---

(7)
Density functional theory data (PBE) for crystalline KPaInBr6 at its relaxed geometry.

Results
Its space group is No. 163. Its uncorrected formation energy is -133 kJ per mole of atoms. The value obtained for the magnetization is 0.11 μB per atom. As for the density of states at the Fermi level: 0.571 states/eV/f.u. The raw total energy is -3.974 eV per atom.

Cell lengths 8.0695, 8.0695, 13.3449 Å; angles 90.00, 90.00, 120.00 degrees
Last column: nearest neighbours and their distance in Å.
Fractional positions:
K (0.3333, 0.6667, 0.2500)  6 Br 3.33
K (0.6667, 0.3333, 0.7500)  6 Br 3.33
Pa (0.3333, 0.6667, 0.7500)  6 Br 2.82
Pa (0.6667, 0.3333, 0.2500)  6 Br 2.82
In (0.0000, 0.0000, 0.0000)  6 Br 3.36
In (0.0000, 0.0000, 0.5000)  6 Br 3.36
Br (0.0479, 0.3798, 0.6287)  1 Pa 2.82
Br (0.0479, 0.6682, 0.8713)  1 Pa 2.82
Br (0.3318, 0.3798, 0.8713)  1 Pa 2.82
Br (0.3318, 0.9521, 0.6287)  1 Pa 2.82
Br (0.3798, 0.0479, 0.1287)  1 Pa 2.82
Br (0.3798, 0.3318, 0.3713)  1 Pa 2.82
Br (0.6202, 0.6682, 0.6287)  1 Pa 2.82
Br (0.6202, 0.9521, 0.8713)  1 Pa 2.82
Br (0.6682, 0.0479, 0.3713)  1 Pa 2.82
Br (0.6682, 0.6202, 0.1287)  1 Pa 2.82
Br (0.9521, 0.3318, 0.1287)  1 Pa 2.82
Br (0.9521, 0.6202, 0.3713)  1 Pa 2.82

---

(8)
Density functional theory data (PBE) for crystalline Tb3PaTl4Se8 at its relaxed geometry.

Results
Its space group is No. 166. Its uncorrected formation energy is -122 kJ per mole of atoms. The value obtained for the magnetization is 0.13 μB per atom. As for the density of states at the Fermi level: 9.897 states/eV/f.u. The raw total energy is -5.059 eV per atom.

Cell lengths 9.2170, 9.2170, 9.2170 Å; angles 54.04, 54.04, 54.04 degrees
Last column: nearest neighbours and their distance in Å.
Fractional positions:
Tb (0.0000, 0.5000, 0.5000)  6 Se 2.90-2.91
Tb (0.5000, 0.0000, 0.5000)  6 Se 2.90-2.91
Tb (0.5000, 0.5000, 0.0000)  6 Se 2.90-2.91
Pa (0.0000, 0.0000, 0.0000)  6 Se 2.90
Tl (0.0000, 0.0000, 0.5000)  6 Se 3.34-3.35
Tl (0.0000, 0.5000, 0.0000)  6 Se 3.34-3.35
Tl (0.5000, 0.0000, 0.0000)  6 Se 3.34-3.35
Tl (0.5000, 0.5000, 0.5000)  6 Se 3.35
Se (0.2345, 0.2345, 0.7371)  1 Pa 2.90, 2 Tb 2.91
Se (0.2345, 0.7371, 0.2345)  1 Pa 2.90, 2 Tb 2.91
Se (0.2629, 0.7655, 0.7655)  1 Pa 2.90, 2 Tb 2.91
Se (0.2654, 0.2654, 0.2654)  3 Tb 2.90
Se (0.7346, 0.7346, 0.7346)  3 Tb 2.90
Se (0.7371, 0.2345, 0.2345)  1 Pa 2.90, 2 Tb 2.91
Se (0.7655, 0.2629, 0.7655)  1 Pa 2.90, 2 Tb 2.91
Se (0.7655, 0.7655, 0.2629)  1 Pa 2.90, 2 Tb 2.91